(1)
Density functional theory data (GGA-PBEsol) for a relaxed RuAu2Br crystal.

Cell and atoms, written as CIF:
```
data_RuAu2Br
_symmetry_space_group_name_H-M 'P 4 m m'
_symmetry_Int_Tables_number 99
_symmetry_space_group_name_Hall 'P 4 -2'
_cell_length_a 2.968
_cell_length_b 2.968
_cell_length_c 7.973
_cell_angle_alpha 90.00
_cell_angle_beta 90.00
_cell_angle_gamma 90.00
loop_
_atom_site_label
_atom_site_type_symbol
_atom_site_fract_x
_atom_site_fract_y
_atom_site_fract_z
Ru1 Ru 0.000 0.000 0.000
Au1 Au 0.000 0.000 0.477
Au2 Au 0.500 0.500 0.237
Br1 Br 0.500 0.500 0.816
```

***

(2)
Density functional theory data (GGA-PBEsol) for a relaxed RuAuBr2 crystal.

Cell and atoms, written as CIF:
```
data_RuAuBr2
_symmetry_space_group_name_H-M 'R -3 m'
_symmetry_Int_Tables_number 166
_symmetry_space_group_name_Hall '-R 3 2"'
_cell_length_a 2.8756
_cell_length_b 2.8756
_cell_length_c 33.9147
_cell_angle_alpha 90.00
_cell_angle_beta 90.00
_cell_angle_gamma 120.00
loop_
_atom_site_label
_atom_site_type_symbol
_atom_site_fract_x
_atom_site_fract_y
_atom_site_fract_z
Ru1 Ru 0.0000 0.0000 0.0000
Au1 Au 0.0000 0.0000 0.5000
Br1 Br 0.0000 0.0000 0.0693
```

## Properties
Polymorph energy (0 for the lowest one): 119 kJ/mol of formula units

***

(3)
Density functional theory data (GGA-PBEsol) for a relaxed RuAuBr2 crystal.

Cell and atoms, written as CIF:
```
data_RuAuBr2
_symmetry_space_group_name_H-M 'R 3 m'
_symmetry_Int_Tables_number 160
_symmetry_space_group_name_Hall 'R 3 -2"'
_cell_length_a 3.7474
_cell_length_b 3.7474
_cell_length_c 21.4582
_cell_angle_alpha 90.00
_cell_angle_beta 90.00
_cell_angle_gamma 120.00
loop_
_atom_site_label
_atom_site_type_symbol
_atom_site_fract_x
_atom_site_fract_y
_atom_site_fract_z
Ru1 Ru 0.0000 0.0000 0.0000
Au1 Au 0.0000 0.0000 0.7396
Br1 Br 0.0000 0.0000 0.2851
Br2 Br 0.0000 0.0000 0.4811
```

## Properties
Polymorph energy (0 for the lowest one): 0 kJ/mol of formula units

***

(4)
Density functional theory data (GGA-PBEsol) for a relaxed RuAuBr2 crystal.

Cell and atoms, written as CIF:
```
data_RuAuBr2
_symmetry_space_group_name_H-M 'C m m 2'
_symmetry_Int_Tables_number 35
_symmetry_space_group_name_Hall 'C 2 -2'
_cell_length_a 3.980
_cell_length_b 4.937
_cell_length_c 8.096
_cell_angle_alpha 90.00
_cell_angle_beta 90.00
_cell_angle_gamma 90.00
loop_
_atom_site_label
_atom_site_type_symbol
_atom_site_fract_x
_atom_site_fract_y
_atom_site_fract_z
Ru1 Ru 0.000 0.000 0.000
Au1 Au 0.000 0.500 0.782
Br1 Br 0.000 0.000 0.547
Br2 Br 0.000 0.500 0.181
```

## Properties
Polymorph energy (0 for the lowest one): 107 kJ/mol of formula units

***

(5)
Density functional theory data (GGA-PBEsol) for a relaxed SbAuBr2 crystal.

Cell and atoms, written as CIF:
```
data_SbAuBr2
_symmetry_space_group_name_H-M 'R -3 m'
_symmetry_Int_Tables_number 166
_symmetry_space_group_name_Hall '-R 3 2"'
_cell_length_a 3.6805
_cell_length_b 3.6805
_cell_length_c 27.3472
_cell_angle_alpha 90.00
_cell_angle_beta 90.00
_cell_angle_gamma 120.00
loop_
_atom_site_label
_atom_site_type_symbol
_atom_site_fract_x
_atom_site_fract_y
_atom_site_fract_z
Sb1 Sb 0.0000 0.0000 0.0000
Au1 Au 0.0000 0.0000 0.5000
Br1 Br 0.0000 0.0000 0.1011
```

## Properties
Polymorph energy (0 for the lowest one): 50 kJ/mol of formula units

***

(6)
Density functional theory data (GGA-PBEsol) for a relaxed SbAu2Br crystal.

Cell and atoms, written as CIF:
```
data_SbAu2Br
_symmetry_space_group_name_H-M 'P 1 m 1'
_symmetry_Int_Tables_number 6
_symmetry_space_group_name_Hall 'P -2y'
_cell_length_a 3.525
_cell_length_b 3.615
_cell_length_c 7.409
_cell_angle_alpha 90.00
_cell_angle_beta 103.71
_cell_angle_gamma 90.00
loop_
_atom_site_label
_atom_site_type_symbol
_atom_site_fract_x
_atom_site_fract_y
_atom_site_fract_z
Sb1 Sb 0.000 0.000 0.000
Au1 Au 0.407 0.500 0.816
Au2 Au 0.808 0.000 0.623
Br1 Br 0.671 0.500 0.345
```

## Properties
Polymorph energy (0 for the lowest one): 0 kJ/mol of formula units

***

One value per record, in order, for energy: -4.48, -3.95, -4.26, -3.99, -2.96, -3.59 eV/atom.
One value per record, in order, for ΔE_f (raw): 2.0, 2.0, 0.8, 1.9, 0.4, -0.1 eV/f.u..